(1)
Density functional theory data (PBE) for a geometry-optimized Dy2Zr3Te8 structure.

Cell: 7.1000 8.1987 8.6277 Å, 118.37 104.24 90.00°
Fractional coordinates of all 13 atoms:
Dy 0.3210 0.2427 0.4853
Dy 0.6790 0.7573 0.5147
Zr 0.5000 0.0000 0.0000
Zr 0.0000 0.2457 0.0000
Zr 0.0000 0.7543 0.0000
Te 0.8959 0.6091 0.2183
Te 0.1041 0.3909 0.7817
Te 0.8994 0.1226 0.2453
Te 0.1006 0.8774 0.7547
Te 0.5898 0.6269 0.7677
Te 0.5898 0.1408 0.7677
Te 0.4102 0.8592 0.2323
Te 0.4102 0.3731 0.2323

Values from the calculation:
The value obtained for the uncorrected formation energy is -94.4 kJ/mol of atoms.

***

(2)
Density functional theory data (PBE) for a geometry-optimized Ho4Ni3Ag structure.

Cell: 3.6894 4.4485 10.1795 Å, 90.00 90.00 90.00°
Fractional coordinates of all 8 atoms:
Ni 0.0000 0.5000 0.5750
Ni 0.0000 0.0000 0.4272
Ni 0.5000 0.0000 0.9186
Ho 0.5000 0.5000 0.3747
Ho 0.0000 0.5000 0.8462
Ho 0.0000 0.0000 0.1454
Ho 0.5000 0.0000 0.6373
Ag 0.5000 0.5000 0.0756

Values from the calculation:
For the electronic total energy, the calculation gives -0.19148 Ha/atom.

***

(3)
Density functional theory data (PBE) for a geometry-optimized CsTl6Cd6 structure.

Cell: 6.1166 8.5016 8.5016 Å, 85.57 68.92 68.92°
Fractional coordinates of all 13 atoms:
Cs 0.0000 0.0000 0.0000
Tl 0.3527 0.6473 0.6473
Tl 0.6473 0.3527 0.3527
Tl 0.0000 0.3568 0.6432
Tl 0.0000 0.6432 0.3568
Tl 0.2933 0.2067 0.2067
Tl 0.7067 0.7933 0.7933
Cd 0.0000 0.5000 0.0000
Cd 0.5000 0.5000 0.0000
Cd 0.0000 0.0000 0.5000
Cd 0.5000 0.0000 0.5000
Cd 0.5000 0.7675 0.2325
Cd 0.5000 0.2325 0.7675

Values from the calculation:
For the electronic total energy, the calculation gives -0.05856 Ha/atom.

***

(4)
Density functional theory data (PBE) for a geometry-optimized YHoGeS structure.

Cell: 4.0309 4.0309 7.0372 Å, 73.36 73.36 60.00°
Fractional coordinates of all 4 atoms:
Y 0.6939 0.6939 0.9183
Ho 0.1942 0.1942 0.4173
Ge 0.9434 0.9434 0.1697
S 0.4448 0.4448 0.6655

Values from the calculation:
The value obtained for the uncorrected formation energy is -140.6 kJ/mol of atoms.

***

(5)
Density functional theory data (PBE) for a geometry-optimized ZrPbBr structure.

Cell: 4.9883 4.9883 3.3916 Å, 90.00 90.00 120.00°
Fractional coordinates of all 3 atoms:
Pb 0.6667 0.3333 0.3335
Br 0.0000 0.0000 0.8331
Zr 0.3333 0.6667 0.8333

Values from the calculation:
The value obtained for the uncorrected formation energy is -24.8 kJ/mol of atoms.

***

(6)
Density functional theory data (PBE) for a geometry-optimized YGe2Mo structure.

Cell: 4.2826 4.2826 5.5414 Å, 67.27 67.27 60.00°
Site moments in Bohr magnetons follow the coordinates.
Fractional coordinates of all 4 atoms:
Y 0.0000 0.0000 0.0000  -0.01
Mo 0.5000 0.5000 0.5000  0.29
Ge 0.7739 0.7739 0.6784  -0.01
Ge 0.2261 0.2261 0.3216  -0.01

Values from the calculation:
For the electronic total energy, the calculation gives -0.25523 Ha/atom.

***

What did the fifth record say?
Density functional theory data (PBE) for a geometry-optimized ZrPbBr structure.

Cell: 4.9883 4.9883 3.3916 Å, 90.00 90.00 120.00°
Fractional coordinates of all 3 atoms:
Pb 0.6667 0.3333 0.3335
Br 0.0000 0.0000 0.8331
Zr 0.3333 0.6667 0.8333

Values from the calculation:
The value obtained for the uncorrected formation energy is -24.8 kJ/mol of atoms.